# 1
A relaxed MnFeSn4 crystal. Source: the Alexandria database, functional PBEsol.

Computed properties:
The value obtained for the formation energy is -0.024 eV/atom.

Unit cell a=6.4553 b=6.4553 c=5.2715 alpha=90.00 beta=90.00 gamma=90.00
Space group I422 (No. 97)
One atom of each set of equivalent atoms:
Mn 0.0000 0.0000 0.0000
Fe 0.0000 0.0000 0.5000
Sn 0.1628 0.3372 0.2500

# 2
A relaxed Tl2AgAu crystal. Source: the Alexandria database, functional PBEsol.

Computed properties:
The distance to the lowest polymorph of the same formula is 7 meV/atom. The value obtained for the formation energy is 0.046 eV/atom.

Unit cell a=3.3820 b=3.3820 c=7.7539 alpha=90.00 beta=90.00 gamma=90.00
Space group P4mm (No. 99)
One atom of each set of equivalent atoms:
Tl 0.0000 0.0000 0.0000
Tl 0.5000 0.5000 0.3325
Ag 0.0000 0.0000 0.5732
Au 0.5000 0.5000 0.7609

# 3
A relaxed Ga3SiCl crystal. Source: the Alexandria database, functional PBEsol.

Computed properties:
The uncorrected formation energy comes out at 0.68 eV/atom.

Unit cell a=4.9862 b=4.9862 c=4.9862 alpha=90.00 beta=90.00 gamma=90.00
Space group Pm-3m (No. 221)
One atom of each set of equivalent atoms:
Ga 0.0000 0.0000 0.5000
Si 0.5000 0.5000 0.5000
Cl 0.0000 0.0000 0.0000

# 4
A relaxed TcHgOs2 crystal. Source: the Alexandria database, functional PBEsol.

Computed properties:
The value obtained for the formation energy is 0.903 eV/atom.

Unit cell a=5.5573 b=9.2330 c=2.7430 alpha=90.00 beta=118.93 gamma=90.00
Space group C2/m (No. 12)
One atom of each set of equivalent atoms:
Tc 0.0000 0.0000 0.0000
Hg 0.0000 0.5000 0.0000
Os 0.2500 0.2500 0.5000

# 5
A relaxed As2AuCl2 crystal. Source: the Alexandria database, functional PBEsol.

Computed properties:
The distance to the lowest polymorph of the same formula is 638 meV/atom. The uncorrected formation energy comes out at 0.43 eV/atom.

Unit cell a=8.4405 b=8.4405 c=2.8261 alpha=90.00 beta=90.00 gamma=90.00
Space group P4/mbm (No. 127)
One atom of each set of equivalent atoms:
As 0.2130 0.2870 0.0000
Au 0.0000 0.0000 0.5000
Cl 0.1189 0.6189 0.5000

# 6
A relaxed BeFe2P crystal. Source: the Alexandria database, functional PBEsol.

Computed properties:
The distance to the lowest polymorph of the same formula is 294 meV/atom. The value obtained for the formation energy is -0.263 eV/atom.

Unit cell a=2.5453 b=3.3348 c=4.6884 alpha=90.00 beta=100.58 gamma=90.00
Space group P2/m (No. 10)
One atom of each set of equivalent atoms:
Be 0.0000 0.0000 0.0000
Fe 0.3596 0.5000 0.7413
P 0.0000 0.0000 0.5000

# 7
A relaxed ZrNbSb2C crystal. Source: the Alexandria database, functional PBEsol.

Computed properties:
The uncorrected formation energy comes out at 0.31 eV/atom.

Unit cell a=4.8223 b=4.8223 c=4.0850 alpha=90.00 beta=90.00 gamma=90.00
Space group P4/mmm (No. 123)
One atom of each set of equivalent atoms:
Zr 0.0000 0.0000 0.0000
Nb 0.5000 0.5000 0.0000
Sb 0.0000 0.5000 0.5000
C 0.5000 0.5000 0.5000

# 8
A relaxed HfTlNiAu2 crystal. Source: the Alexandria database, functional PBEsol.

Computed properties:
The value obtained for the formation energy is 0.254 eV/atom.

Unit cell a=4.7961 b=4.7961 c=4.4525 alpha=90.00 beta=90.00 gamma=90.00
Space group P4/mmm (No. 123)
One atom of each set of equivalent atoms:
Hf 0.0000 0.0000 0.0000
Tl 0.5000 0.5000 0.0000
Ni 0.0000 0.0000 0.5000
Au 0.0000 0.5000 0.5000

# 9
A relaxed NaSrHg3 crystal. Source: the Alexandria database, functional PBEsol.

Computed properties:
The value obtained for the formation energy is -0.070 eV/atom.

Unit cell a=5.3143 b=5.3143 c=5.3143 alpha=90.00 beta=90.00 gamma=90.00
Space group Pm-3m (No. 221)
One atom of each set of equivalent atoms:
Na 0.0000 0.0000 0.0000
Sr 0.5000 0.5000 0.5000
Hg 0.0000 0.0000 0.5000

# 10
A relaxed MgBiN2F crystal. Source: the Alexandria database, functional PBEsol.

Computed properties:
The uncorrected formation energy comes out at -0.12 eV/atom.

Unit cell a=4.1296 b=4.1296 c=3.7029 alpha=90.00 beta=90.00 gamma=90.00
Space group P4/mmm (No. 123)
One atom of each set of equivalent atoms:
Mg 0.0000 0.0000 0.0000
Bi 0.5000 0.5000 0.5000
N 0.0000 0.5000 0.0000
F 0.0000 0.0000 0.5000

# 11
A relaxed Ti3SiAu crystal. Source: the Alexandria database, functional PBEsol.

Computed properties:
The uncorrected formation energy comes out at 0.78 eV/atom.

Unit cell a=4.7589 b=4.7589 c=4.7589 alpha=90.00 beta=90.00 gamma=90.00
Space group Pm-3m (No. 221)
One atom of each set of equivalent atoms:
Ti 0.0000 0.0000 0.5000
Si 0.5000 0.5000 0.5000
Au 0.0000 0.0000 0.0000

# 12
A relaxed VZnAs2O7 crystal. Source: the Alexandria database, functional PBEsol.

Computed properties:
The uncorrected formation energy comes out at -1.49 eV/atom.

Unit cell a=7.8264 b=7.8692 c=10.8340 alpha=90.00 beta=122.42 gamma=90.00
Space group P2_1/c (No. 14)
One atom of each set of equivalent atoms:
V 0.1932 0.0601 0.2937
Zn 0.2620 0.0518 0.8972
As 0.0374 0.6977 0.9686
As 0.4631 0.7097 0.2670
O 0.0084 0.5730 0.8204
O 0.0511 0.5988 0.3891
O 0.2529 0.2013 0.4246
O 0.3002 0.2233 0.2033
O 0.3193 0.6608 0.0813
O 0.3565 0.6138 0.7899
O 0.4751 0.5479 0.3773

Values for total DFT energy (no corrections), eV/cell, ordered as above
-71.8; -12.3; -14.4; -65.3; -32.0; -28.8; -37.1; -25.9; -5.3; -25.6; -30.8; -298.4